Compound: Ba2Zn4CdGa3
Source: the Alexandria database
Functional: PBE-GGA
Structure: optimized geometry

crystal system = tetragonal
mass density = 6071 kg/m³
total moment = 0.000 μB per atom

```
Ba2Zn4CdGa3
1.0
4.559 0.000 0.000
0.000 4.559 0.000
0.000 0.000 11.288
Ba Zn Cd Ga
2 4 1 3
direct
0.000 0.500 0.242
0.500 0.000 0.758
0.000 0.000 0.000
0.000 0.500 0.638
0.500 0.000 0.362
0.500 0.500 0.000
0.000 0.000 0.500
0.000 0.500 0.877
0.500 0.000 0.123
0.500 0.500 0.500
```

---

Compound: BaGd2Cd
Source: the Alexandria database
Functional: PBE-GGA
Structure: optimized geometry

crystal system = tetragonal
mass density = 6555 kg/m³
E above lowest polymorph = 0.000 eV per formula unit
total moment = 3.805 μB per atom

```
BaGd2Cd
1.0
3.850 0.000 0.000
0.000 3.850 0.000
0.000 0.000 9.644
Ba Gd Cd
1 2 1
direct
0.000 0.000 0.000
0.500 0.500 0.316
0.500 0.500 0.684
0.000 0.000 0.500
```

---

Compound: BaGdCd
Source: the Alexandria database
Functional: PBE-GGA
Structure: optimized geometry

crystal system = tetragonal
mass density = 6089 kg/m³
total moment = 2.541 μB per atom

```
BaGdCd
1.0
-1.997 1.997 6.954
1.997 -1.997 6.954
1.997 1.997 -6.954
Ba Gd Cd
1 1 1
direct
0.000 0.000 0.000
0.280 0.280 0.000
0.672 0.672 0.000
```

---

Compound: BaGd2Cd
Source: the Alexandria database
Functional: PBE-GGA
Structure: optimized geometry

crystal system = trigonal
mass density = 6574 kg/m³
E above lowest polymorph = 0.749 eV per formula unit
total moment = 3.845 μB per atom

```
BaGd2Cd
1.0
1.838 1.061 12.184
-1.838 1.061 12.184
0.000 -2.122 12.184
Ba Gd Cd
1 2 1
direct
0.000 0.000 0.000
0.100 0.100 0.100
0.900 0.900 0.900
0.500 0.500 0.500
```

---

Sequential total energy output: -2.1878; -7.7847; -5.7622; -7.5976 eV/atom
Sequential DFT formation energy output: -0.29; -0.03; -0.12; 0.15 eV per atom